Re2PdAu: optimized geometry, PBE-GGA.

Cell lengths 6.3160, 6.3160, 6.3160 Å; angles 90.00, 90.00, 90.00 degrees
Space group Fm-3m (No. 225)
Inequivalent atoms, fractional coordinates:
1 Re 0.2500 0.2500 0.2500 x8
2 Pd 0.0000 0.0000 0.0000 x4
3 Au 0.0000 0.0000 0.5000 x4

Electronic total energy, eV/atom: -7.532
Mass density, g/cm³: 17.82
Formation energy from the elements, kcal/mol of atoms: 18.7